Entry 1:
Co3SbP: optimized geometry, PBE-GGA.

For the excess energy over the best structure of this formula in the dataset, the calculation gives 0 meV/atom.

a b c (Å): 4.212 4.212 4.212
angles (deg): 90.00 90.00 90.00
Positions (direct):
Co  0.000  0.000  0.500
Co  0.000  0.500  0.000
Co  0.500  0.000  0.000
Sb  0.500  0.500  0.500
P  0.000  0.000  0.000

=====

Entry 2:
Co2SbP2: optimized geometry, PBE-GGA.

a b c (Å): 6.189 6.189 6.189
angles (deg): 146.01 146.01 48.83
Positions (direct):
Co  0.135  0.135  0.000
Co  0.865  0.865  0.000
Sb  0.500  0.500  0.000
P  0.250  0.750  0.500
P  0.750  0.250  0.500

=====

Entry 3:
CoSbP: optimized geometry, PBE-GGA.

For the excess energy over the best structure of this formula in the dataset, the calculation gives 276 meV/atom.

a b c (Å): 3.624 3.624 5.120
angles (deg): 90.00 90.00 120.00
Positions (direct):
Co  0.000  0.000  0.000
Sb  0.667  0.333  0.684
P  0.333  0.667  0.110

=====

Entry 4:
Co3SbP: optimized geometry, PBE-GGA.

For the excess energy over the best structure of this formula in the dataset, the calculation gives 1274 meV/atom.

a b c (Å): 4.605 4.605 4.605
angles (deg): 90.00 90.00 90.00
Positions (direct):
Co  0.000  0.000  0.500
Co  0.000  0.500  0.000
Co  0.500  0.000  0.000
Sb  0.000  0.000  0.000
P  0.500  0.500  0.500

=====

Entry 5:
Co2Sb2P: optimized geometry, PBE-GGA.

For the excess energy over the best structure of this formula in the dataset, the calculation gives 357 meV/atom.

a b c (Å): 6.006 6.006 6.006
angles (deg): 138.66 138.66 59.89
Positions (direct):
Co  0.110  0.110  0.000
Co  0.890  0.890  0.000
Sb  0.250  0.750  0.500
Sb  0.750  0.250  0.500
P  0.500  0.500  0.000

=====

Entry 6:
CoSbP: optimized geometry, PBE-GGA.

For the excess energy over the best structure of this formula in the dataset, the calculation gives 372 meV/atom.

a b c (Å): 4.172 4.172 4.172
angles (deg): 60.00 60.00 60.00
Positions (direct):
Co  0.000  0.000  0.000
Sb  0.250  0.250  0.250
P  0.750  0.750  0.750

=====

These records have DOS at the Fermi energy values of 1.77 0.84 0.63 0.71 0.76 0.54 states/eV/atom, in the order they appear.
These records have size of the total moment values of 2.21 0.00 0.00 2.75 1.66 0.00 μB/cell, in the order they appear.
These records have energy relative to the elements, uncorrected values of 0.880 -0.381 -0.273 7.252 3.228 0.016 eV per formula unit, in the order they appear.